# 1
The following is a PBE-GGA calculation of a geometry-optimized Al2TlBr structure, from Alexandria.

Cell: 6.254 6.254 13.354 Å, 90.00 90.00 90.00°
Fractional coordinates of all 16 atoms:
Al 0.221 0.250 0.125
Al 0.250 0.721 0.375
Al 0.250 0.779 0.875
Al 0.279 0.250 0.625
Al 0.721 0.750 0.625
Al 0.750 0.221 0.875
Al 0.750 0.279 0.375
Al 0.779 0.750 0.125
Tl 0.000 0.000 0.000
Tl 0.000 0.500 0.250
Tl 0.500 0.000 0.750
Tl 0.500 0.500 0.500
Br 0.000 0.000 0.500
Br 0.000 0.500 0.750
Br 0.500 0.000 0.250
Br 0.500 0.500 0.000

Output
Formation energy (no corrections): 244 meV/atom
DOS(E_F): 0.509 states/eV/f.u.
SG: I-42d (122)
Total energy: -2.64 eV/atom

=====

# 2
The following is a PBE-GGA calculation of a geometry-optimized AlTlBr structure, from Alexandria.

Cell: 5.200 5.200 3.558 Å, 90.00 90.00 120.00°
Fractional coordinates of all 3 atoms:
Al 0.000 0.000 0.000
Tl 0.667 0.333 0.500
Br 0.333 0.667 0.000

Output
Formation energy (no corrections): -1 meV/atom
DOS(E_F): 0.886 states/eV/f.u.
SG: P-6m2 (187)
Total energy: -2.60 eV/atom

=====

# 3
The following is a PBE-GGA calculation of a geometry-optimized AlTlBr2 structure, from Alexandria.

Cell: 7.778 7.778 7.778 Å, 90.00 90.00 90.00°
Fractional coordinates of all 16 atoms:
Al 0.000 0.000 0.000
Al 0.000 0.500 0.500
Al 0.500 0.000 0.500
Al 0.500 0.500 0.000
Tl 0.250 0.250 0.250
Tl 0.250 0.750 0.750
Tl 0.750 0.250 0.750
Tl 0.750 0.750 0.250
Br 0.000 0.000 0.500
Br 0.000 0.500 0.000
Br 0.250 0.250 0.750
Br 0.250 0.750 0.250
Br 0.500 0.000 0.000
Br 0.500 0.500 0.500
Br 0.750 0.250 0.250
Br 0.750 0.750 0.750

Output
Formation energy (no corrections): -161 meV/atom
SG: F-43m (216)
Total energy: -2.52 eV/atom

=====

# 4
The following is a PBE-GGA calculation of a geometry-optimized AlTlBr2 structure, from Alexandria.

Cell: 7.870 7.870 7.870 Å, 90.00 90.00 90.00°
Fractional coordinates of all 16 atoms:
Al 0.000 0.000 0.000
Al 0.000 0.500 0.500
Al 0.500 0.000 0.500
Al 0.500 0.500 0.000
Tl 0.000 0.000 0.500
Tl 0.000 0.500 0.000
Tl 0.500 0.000 0.000
Tl 0.500 0.500 0.500
Br 0.250 0.250 0.250
Br 0.250 0.250 0.750
Br 0.250 0.750 0.250
Br 0.250 0.750 0.750
Br 0.750 0.250 0.250
Br 0.750 0.250 0.750
Br 0.750 0.750 0.250
Br 0.750 0.750 0.750

Output
Formation energy (no corrections): -420 meV/atom
DOS(E_F): 0.000 states/eV/f.u.
SG: Fm-3m (225)
Total energy: -2.78 eV/atom

=====

# 5
The following is a PBE-GGA calculation of a geometry-optimized AlTlBr2 structure, from Alexandria.

Cell: 5.383 3.952 6.440 Å, 90.00 107.30 90.00°
Fractional coordinates of all 4 atoms:
Al 0.000 0.000 0.000
Tl 0.349 0.500 0.389
Br 0.656 0.500 0.987
Br 0.936 0.000 0.603

Output
Formation energy (no corrections): -567 meV/atom
SG: Pm (6)
Total energy: -2.93 eV/atom

=====

# 6
The following is a PBE-GGA calculation of a geometry-optimized Al2TlBr structure, from Alexandria.

Cell: 7.374 7.374 7.374 Å, 90.00 90.00 90.00°
Fractional coordinates of all 16 atoms:
Al 0.000 0.000 0.000
Al 0.000 0.500 0.500
Al 0.250 0.250 0.250
Al 0.250 0.750 0.750
Al 0.500 0.000 0.500
Al 0.500 0.500 0.000
Al 0.750 0.250 0.750
Al 0.750 0.750 0.250
Tl 0.250 0.250 0.750
Tl 0.250 0.750 0.250
Tl 0.750 0.250 0.250
Tl 0.750 0.750 0.750
Br 0.000 0.000 0.500
Br 0.000 0.500 0.000
Br 0.500 0.000 0.000
Br 0.500 0.500 0.500

Output
Formation energy (no corrections): 275 meV/atom
DOS(E_F): 2.832 states/eV/f.u.
SG: F-43m (216)
Total energy: -2.61 eV/atom

=====

# 7
The following is a PBE-GGA calculation of a geometry-optimized AlTlBr2 structure, from Alexandria.

Cell: 4.320 4.320 25.813 Å, 90.00 90.00 120.00°
Fractional coordinates of all 12 atoms:
Al 0.000 0.000 0.000
Al 0.333 0.667 0.667
Al 0.667 0.333 0.333
Tl 0.000 0.000 0.746
Tl 0.333 0.667 0.412
Tl 0.667 0.333 0.079
Br 0.000 0.000 0.282
Br 0.000 0.000 0.479
Br 0.333 0.667 0.145
Br 0.333 0.667 0.949
Br 0.667 0.333 0.616
Br 0.667 0.333 0.812

Output
Formation energy (no corrections): -448 meV/atom
DOS(E_F): 0.000 states/eV/f.u.
SG: R3m (160)
Total energy: -2.81 eV/atom

=====

# 8
The following is a PBE-GGA calculation of a geometry-optimized AlTl2Br4 structure, from Alexandria.

Cell: 5.058 5.058 19.516 Å, 90.00 90.00 90.00°
Fractional coordinates of all 14 atoms:
Al 0.000 0.000 0.000
Al 0.500 0.500 0.500
Tl 0.000 0.000 0.166
Tl 0.000 0.000 0.834
Tl 0.500 0.500 0.334
Tl 0.500 0.500 0.666
Br 0.000 0.000 0.317
Br 0.000 0.000 0.683
Br 0.000 0.500 0.000
Br 0.000 0.500 0.500
Br 0.500 0.000 0.000
Br 0.500 0.000 0.500
Br 0.500 0.500 0.183
Br 0.500 0.500 0.817

Output
Formation energy (no corrections): -658 meV/atom
DOS(E_F): 0.448 states/eV/f.u.
SG: I4/mmm (139)
Total energy: -2.82 eV/atom

=====

# 9
The following is a PBE-GGA calculation of a geometry-optimized Al2TlBr structure, from Alexandria.

Cell: 7.293 7.293 7.293 Å, 90.00 90.00 90.00°
Fractional coordinates of all 16 atoms:
Al 0.250 0.250 0.250
Al 0.250 0.250 0.750
Al 0.250 0.750 0.250
Al 0.250 0.750 0.750
Al 0.750 0.250 0.250
Al 0.750 0.250 0.750
Al 0.750 0.750 0.250
Al 0.750 0.750 0.750
Tl 0.000 0.000 0.000
Tl 0.000 0.500 0.500
Tl 0.500 0.000 0.500
Tl 0.500 0.500 0.000
Br 0.000 0.000 0.500
Br 0.000 0.500 0.000
Br 0.500 0.000 0.000
Br 0.500 0.500 0.500

Output
Formation energy (no corrections): 287 meV/atom
DOS(E_F): 1.730 states/eV/f.u.
SG: Fm-3m (225)
Total energy: -2.59 eV/atom

=====

# 10
The following is a PBE-GGA calculation of a geometry-optimized Al2TlBr structure, from Alexandria.

Cell: 4.500 4.500 10.178 Å, 90.00 90.00 90.00°
Fractional coordinates of all 8 atoms:
Al 0.000 0.000 0.000
Al 0.000 0.500 0.250
Al 0.500 0.000 0.750
Al 0.500 0.500 0.500
Tl 0.000 0.000 0.500
Tl 0.500 0.500 0.000
Br 0.000 0.500 0.750
Br 0.500 0.000 0.250

Output
Formation energy (no corrections): 219 meV/atom
DOS(E_F): 1.795 states/eV/f.u.
SG: I-4m2 (119)
Total energy: -2.66 eV/atom

=====

# 11
The following is a PBE-GGA calculation of a geometry-optimized Al2TlBr structure, from Alexandria.

Cell: 3.470 5.876 9.972 Å, 90.00 90.00 90.00°
Fractional coordinates of all 8 atoms:
Al 0.000 0.000 0.000
Al 0.000 0.500 0.206
Al 0.500 0.000 0.206
Al 0.500 0.500 0.000
Tl 0.000 0.000 0.464
Tl 0.500 0.500 0.464
Br 0.000 0.500 0.808
Br 0.500 0.000 0.808

Output
Formation energy (no corrections): 21 meV/atom
DOS(E_F): 2.076 states/eV/f.u.
SG: Cmm2 (35)
Total energy: -2.86 eV/atom

=====

# 12
The following is a PBE-GGA calculation of a geometry-optimized Al2TlBr structure, from Alexandria.

Cell: 3.453 5.491 5.769 Å, 90.00 106.41 90.00°
Fractional coordinates of all 4 atoms:
Al 0.000 0.000 0.000
Al 0.030 0.500 0.049
Tl 0.279 0.000 0.542
Br 0.709 0.500 0.424

Output
Formation energy (no corrections): 43 meV/atom
DOS(E_F): 1.406 states/eV/f.u.
SG: Pm (6)
Total energy: -2.84 eV/atom

=====

> Which value of total energy does entry 4 give?

-2.78 eV/atom

=====

> Which formula does entry 1 have?

Al2TlBr

=====

> Among the records above, which one has the lowest formation energy (no corrections)?

AlTl2Br4

=====

> total energy of number 5 (AlTlBr2)?

-2.93 eV/atom